No. 1
Entry from Alexandria via LeMat-Bulk: Ba2Mg4InGa3 after structural relaxation (PBE).

Results
The calculation puts the energy of formation from the pure elements at -2.77 eV per formula unit. The calculation puts the uncorrected energy at -2.4816 eV per atom.

```
data_Ba2Mg4InGa3
_cell_length_a 4.796
_cell_length_b 4.796
_cell_length_c 11.916
_cell_angle_alpha 90.00
_cell_angle_beta 90.00
_cell_angle_gamma 90.00
_space_group_name_H-M_alt 'P -4 m 2'
_space_group_IT_number 115
loop_
_space_group_symop_operation_xyz
'x,y,z'
'y,-x,-z'
'-x,-y,z'
'-y,x,-z'
'-x,y,z'
'-y,-x,-z'
'x,-y,z'
'y,x,-z'
loop_
_atom_site_label
_atom_site_type_symbol
_atom_site_fract_x
_atom_site_fract_y
_atom_site_fract_z
Ba1 Ba 0.000 0.500 0.246
Mg1 Mg 0.000 0.000 0.000
Mg2 Mg 0.000 0.500 0.639
Mg3 Mg 0.500 0.500 0.000
In1 In 0.000 0.000 0.500
Ga1 Ga 0.000 0.500 0.872
Ga2 Ga 0.500 0.500 0.500
```



No. 2
Entry from Alexandria via LeMat-Bulk: La14NdCd after structural relaxation (PBE).

Results
The calculation puts the energy of formation from the pure elements at -0.54 eV per formula unit. The calculation puts the uncorrected energy at -4.7007 eV per atom.

```
data_La14NdCd
_cell_length_a 10.482
_cell_length_b 10.378
_cell_length_c 10.385
_cell_angle_alpha 90.00
_cell_angle_beta 90.00
_cell_angle_gamma 90.00
_space_group_name_H-M_alt 'A m m 2'
_space_group_IT_number 38
loop_
_space_group_symop_operation_xyz
'x,y,z'
'-x,-y,z'
'-x,y,z'
'x,-y,z'
'x,y+1/2,z+1/2'
'-x,-y+1/2,z+1/2'
'-x,y+1/2,z+1/2'
'x,-y+1/2,z+1/2'
loop_
_atom_site_label
_atom_site_type_symbol
_atom_site_fract_x
_atom_site_fract_y
_atom_site_fract_z
La1 La 0.000 0.000 0.000
La2 La 0.000 0.000 0.499
La3 La 0.000 0.249 0.249
La4 La 0.254 0.000 0.744
La5 La 0.255 0.244 0.499
La6 La 0.256 0.000 0.255
La7 La 0.500 0.248 0.749
Nd1 Nd 0.500 0.000 0.999
Cd1 Cd 0.500 0.000 0.499
```